5
Lattice="-2.053 2.053 7.555 2.053 -2.053 7.555 2.053 2.053 -7.555" Properties=species:S:1:pos:R:3 comment="Mg2Tl2Ni | Alexandria | GGA-PBE | relaxed" crystal_system=tetragonal spacegroup="I4/mmm, No. 139" formation_energy_ev_per_atom=0.544 pbc="T T T"
Mg 0.000 0.000 1.349
Mg 0.000 0.000 13.761
Tl 2.053 0.000 3.777
Tl 0.000 2.053 3.777
Ni 0.000 0.000 7.555